## one
The following is a PBE calculation of a relaxed structure of CoSiBr, from Alexandria via LeMat-Bulk.

extended XYZ file:
```
9
Lattice="-0.195 0.250 3.464 1.706 -2.657 -1.458 13.195 8.397 0.136" Properties=species:S:1:pos:R:3 pbc="T T T"
Si 4.578 2.913 0.047
Si 1.252 -1.574 0.184
Si 9.415 4.993 1.916
Co 12.539 7.980 0.130
Co 9.213 3.492 0.267
Co 4.181 1.662 1.862
Br 6.715 4.273 0.069
Br 3.389 -0.214 0.206
Br 11.552 6.353 1.938
```

Results
DOS(E_F) = 2.54 states/eV per cell
V = 18.2 Å³ per atom

=====

## two
The following is a PBE calculation of a relaxed structure of CoSiBr, from Alexandria via LeMat-Bulk.

extended XYZ file:
```
12
Lattice="3.596 0.000 0.000 0.000 4.953 0.000 0.000 0.000 16.440" Properties=species:S:1:pos:R:3 pbc="T T T"
Si 1.798 0.000 10.750
Si 1.798 2.476 2.529
Si 1.798 0.000 1.724
Si 1.798 2.476 9.944
Co 0.000 3.742 9.724
Co 0.000 1.211 9.724
Co 0.000 1.266 1.504
Co 0.000 3.687 1.504
Br 0.000 0.000 7.716
Br 0.000 2.476 15.936
Br 1.798 0.000 12.997
Br 1.798 2.476 4.777
```

Results
DOS(E_F) = 7.99 states/eV per cell
V = 24.4 Å³ per atom

=====

## three
The following is a PBE calculation of a relaxed structure of CoSiBr, from Alexandria via LeMat-Bulk.

extended XYZ file:
```
6
Lattice="-1.704 -1.630 2.205 2.454 -2.600 2.336 2.832 6.072 6.864" Properties=species:S:1:pos:R:3 pbc="T T T"
Si 2.759 2.099 9.779
Si 0.823 -0.257 1.627
Co 1.311 -2.031 3.055
Co 2.271 3.873 8.351
Br 2.469 -0.824 4.843
Br 1.113 2.666 6.563
```

Results
DOS(E_F) = 2.41 states/eV per cell
V = 20.1 Å³ per atom

=====

## four
The following is a PBE calculation of a relaxed structure of CoSiBr, from Alexandria via LeMat-Bulk.

extended XYZ file:
```
3
Lattice="4.157 0.000 0.000 2.079 3.600 0.000 2.079 1.200 3.394" Properties=species:S:1:pos:R:3 pbc="T T T"
Br 4.157 2.400 1.697
Co 6.236 3.600 2.546
Si 0.000 0.000 0.000
```

Results
DOS(E_F) = 0.75 states/eV per cell
V = 16.9 Å³ per atom

=====

Of them, the most stable is three and the least stable is four.

=====

## one
The following is a PBE calculation of a relaxed structure of CoSiBr, from Alexandria via LeMat-Bulk.

extended XYZ file:
```
3
Lattice="-0.357 6.214 -1.499 -3.372 5.016 -1.415 0.206 1.718 2.745" Properties=species:S:1:pos:R:3 pbc="T T T"
Br -3.553 10.804 -2.661
Co -1.018 4.678 0.984
Si -2.681 8.696 -1.407
```

Results
DOS(E_F) = 2.25 states/eV per cell
V = 20.0 Å³ per atom

=====

## two
The following is a PBE calculation of a relaxed structure of CoSiBr, from Alexandria via LeMat-Bulk.

extended XYZ file:
```
3
Lattice="3.531 0.000 0.000 -1.766 3.058 0.000 0.000 0.000 5.545" Properties=species:S:1:pos:R:3 pbc="T T T"
Br 0.000 0.000 0.520
Co 1.766 1.019 2.084
Si 0.000 2.039 2.941
```

Results
V = 20.0 Å³ per atom

=====

Of them, the most stable is two and the least stable is one.